Below is an optimized crystal structure of TbHfTiN3, with properties calculated at the GGA-PBE level.

Summary:
As for the crystal system: monoclinic. The calculation puts the mass density at 8.12 g cm⁻³. Its spin magnetization is 0.000 μB per formula unit. The value obtained for the uncorrected formation energy is -1423 meV per atom.

Unit cell a=6.654 b=3.185 c=8.260 alpha=90.00 beta=93.25 gamma=90.00
Space group P2_1/m (No. 11)
Inequivalent atoms, fractional coordinates:
Tb (0.141, 0.250, 0.188) [2 per cell]
Hf (0.362, 0.750, 0.873) [2 per cell]
Ti (0.153, 0.250, 0.573) [2 per cell]
N (0.140, 0.250, 0.850) [2 per cell]
N (0.152, 0.750, 0.428) [2 per cell]
N (0.403, 0.750, 0.124) [2 per cell]


Below is an optimized crystal structure of TbTm3Hf2N6, with properties calculated at the GGA-PBE level.

Summary:
As for the crystal system: monoclinic. The calculation puts the mass density at 11.61 g cm⁻³. Its spin magnetization is 0.000 μB per formula unit. The value obtained for the uncorrected formation energy is -1812 meV per atom.

Unit cell a=14.554 b=3.335 c=6.704 alpha=90.00 beta=103.32 gamma=90.00
Space group C2/m (No. 12)
Inequivalent atoms, fractional coordinates:
Tb (0.000, 0.000, 0.000) [2 per cell]
Tm (0.000, 0.000, 0.500) [2 per cell]
Tm (0.167, 0.500, 0.833) [4 per cell]
Hf (0.167, 0.500, 0.335) [4 per cell]
N (0.008, 0.500, 0.260) [4 per cell]
N (0.170, 0.000, 0.100) [4 per cell]
N (0.171, 0.000, 0.574) [4 per cell]


Below is an optimized crystal structure of Tb2TmHfN4, with properties calculated at the GGA-PBE level.

Summary:
As for the crystal system: monoclinic. The calculation puts the mass density at 10.90 g cm⁻³. Its spin magnetization is 0.000 μB per formula unit. The value obtained for the uncorrected formation energy is -1773 meV per atom.

Unit cell a=5.859 b=3.377 c=5.883 alpha=90.00 beta=109.19 gamma=90.00
Space group P2/m (No. 10)
Inequivalent atoms, fractional coordinates:
Tb (0.000, 0.000, 0.000) [1 per cell]
Tb (0.500, 0.500, 0.000) [1 per cell]
Tm (0.000, 0.500, 0.500) [1 per cell]
Hf (0.500, 0.000, 0.500) [1 per cell]
N (0.256, 0.000, 0.735) [2 per cell]
N (0.266, 0.500, 0.271) [2 per cell]


Below is an optimized crystal structure of Tb2TmHf3N6, with properties calculated at the GGA-PBE level.

Summary:
As for the crystal system: monoclinic. The calculation puts the mass density at 11.82 g cm⁻³. Its spin magnetization is 0.000 μB per formula unit. The value obtained for the uncorrected formation energy is -1796 meV per atom.

Unit cell a=14.545 b=3.303 c=6.674 alpha=90.00 beta=104.17 gamma=90.00
Space group C2/m (No. 12)
Inequivalent atoms, fractional coordinates:
Tb (0.167, 0.000, 0.333) [4 per cell]
Tm (0.000, 0.500, 0.000) [2 per cell]
Hf (0.000, 0.500, 0.500) [2 per cell]
Hf (0.166, 0.000, 0.833) [4 per cell]
N (0.006, 0.000, 0.741) [4 per cell]
N (0.160, 0.500, 0.599) [4 per cell]
N (0.170, 0.500, 0.067) [4 per cell]


Below is an optimized crystal structure of Tb2HfUN4, with properties calculated at the GGA-PBE level.

Summary:
As for the crystal system: monoclinic. The calculation puts the mass density at 11.85 g cm⁻³. Its spin magnetization is 0.449 μB per formula unit. The value obtained for the uncorrected formation energy is -1634 meV per atom.

Unit cell a=5.854 b=3.386 c=5.907 alpha=90.00 beta=108.86 gamma=90.00
Space group P2/m (No. 10)
Inequivalent atoms, fractional coordinates:
Tb (0.000, 0.000, 0.000) [1 per cell]
Tb (0.500, 0.500, 0.000) [1 per cell]
Hf (0.000, 0.500, 0.500) [1 per cell]
U (0.500, 0.000, 0.500) [1 per cell]
N (0.240, 0.000, 0.720) [2 per cell]
N (0.251, 0.500, 0.274) [2 per cell]


Below is an optimized crystal structure of Tb3Hf3WN8, with properties calculated at the GGA-PBE level.

Summary:
As for the crystal system: trigonal. The calculation puts the mass density at 10.81 g cm⁻³. Its spin magnetization is 0.000 μB per formula unit. The value obtained for the uncorrected formation energy is -1469 meV per atom.

Unit cell a=6.4749 b=6.4749 c=16.5990 alpha=90.00 beta=90.00 gamma=120.00
Space group R-3m (No. 166, hexagonal axes)
Inequivalent atoms, fractional coordinates:
Tb (0.0000, 0.5000, 0.0000) [9 per cell]
Hf (0.0000, 0.5000, 0.5000) [9 per cell]
W (0.0000, 0.0000, 0.5000) [3 per cell]
N (0.0000, 0.0000, 0.2413) [6 per cell]
N (0.0157, 0.5078, 0.2368) [18 per cell]


Below is an optimized crystal structure of TbHf2ZrN4, with properties calculated at the GGA-PBE level.

Summary:
As for the crystal system: orthorhombic. The calculation puts the mass density at 10.97 g cm⁻³. Its spin magnetization is 0.000 μB per formula unit. The value obtained for the uncorrected formation energy is -1735 meV per atom.

Unit cell a=6.561 b=6.583 c=9.294 alpha=90.00 beta=90.00 gamma=90.00
Space group Imma (No. 74)
Inequivalent atoms, fractional coordinates:
Tb (0.250, 0.250, 0.250) [4 per cell]
Hf (0.000, 0.000, 0.000) [4 per cell]
Hf (0.250, 0.250, 0.750) [4 per cell]
Zr (0.000, 0.000, 0.500) [4 per cell]
N (0.000, 0.018, 0.755) [8 per cell]
N (0.240, 0.250, 0.991) [8 per cell]


Below is an optimized crystal structure of Tb3HfZr2N6, with properties calculated at the GGA-PBE level.

Summary:
As for the crystal system: monoclinic. The calculation puts the mass density at 9.54 g cm⁻³. Its spin magnetization is 0.000 μB per formula unit. The value obtained for the uncorrected formation energy is -1730 meV per atom.

Unit cell a=5.792 b=10.018 c=5.857 alpha=90.00 beta=109.27 gamma=90.00
Space group C2/m (No. 12)
Inequivalent atoms, fractional coordinates:
Tb (0.000, 0.000, 0.000) [2 per cell]
Tb (0.000, 0.333, 0.000) [4 per cell]
Hf (0.000, 0.500, 0.500) [2 per cell]
Zr (0.000, 0.166, 0.500) [4 per cell]
N (0.240, 0.336, 0.728) [8 per cell]
N (0.248, 0.000, 0.728) [4 per cell]


Below is an optimized crystal structure of Tb2HfZrN4, with properties calculated at the GGA-PBE level.

Summary:
As for the crystal system: monoclinic. The calculation puts the mass density at 10.04 g cm⁻³. Its spin magnetization is 0.000 μB per formula unit. The value obtained for the uncorrected formation energy is -1737 meV per atom.

Unit cell a=5.774 b=3.336 c=5.854 alpha=90.00 beta=109.24 gamma=90.00
Space group P2/m (No. 10)
Inequivalent atoms, fractional coordinates:
Tb (0.000, 0.000, 0.000) [1 per cell]
Tb (0.500, 0.500, 0.000) [1 per cell]
Hf (0.000, 0.500, 0.500) [1 per cell]
Zr (0.500, 0.000, 0.500) [1 per cell]
N (0.237, 0.000, 0.725) [2 per cell]
N (0.253, 0.500, 0.272) [2 per cell]


Below is an optimized crystal structure of TbHfZr2N4, with properties calculated at the GGA-PBE level.

Summary:
As for the crystal system: monoclinic. The calculation puts the mass density at 9.40 g cm⁻³. Its spin magnetization is 0.000 μB per formula unit. The value obtained for the uncorrected formation energy is -1700 meV per atom.

Unit cell a=5.715 b=3.286 c=5.734 alpha=90.00 beta=109.19 gamma=90.00
Space group P2/m (No. 10)
Inequivalent atoms, fractional coordinates:
Tb (0.000, 0.000, 0.000) [1 per cell]
Hf (0.000, 0.500, 0.500) [1 per cell]
Zr (0.500, 0.000, 0.500) [1 per cell]
Zr (0.500, 0.500, 0.000) [1 per cell]
N (0.246, 0.000, 0.735) [2 per cell]
N (0.256, 0.500, 0.267) [2 per cell]


Below is an optimized crystal structure of Tb4HfZr3N8, with properties calculated at the GGA-PBE level.

Summary:
As for the crystal system: trigonal. The calculation puts the mass density at 9.30 g cm⁻³. Its spin magnetization is 0.000 μB per formula unit. The value obtained for the uncorrected formation energy is -1723 meV per atom.

Unit cell a=6.6874 b=6.6874 c=16.6031 alpha=90.00 beta=90.00 gamma=120.00
Space group R-3m (No. 166, hexagonal axes)
Inequivalent atoms, fractional coordinates:
Tb (0.0000, 0.0000, 0.0000) [3 per cell]
Tb (0.0000, 0.5000, 0.0000) [9 per cell]
Hf (0.0000, 0.0000, 0.5000) [3 per cell]
Zr (0.0000, 0.5000, 0.5000) [9 per cell]
N (0.0000, 0.0000, 0.2435) [6 per cell]
N (0.0046, 0.5023, 0.2426) [18 per cell]


Below is an optimized crystal structure of TbHfZrN3, with properties calculated at the GGA-PBE level.

Summary:
As for the crystal system: monoclinic. The calculation puts the mass density at 9.89 g cm⁻³. Its spin magnetization is 0.000 μB per formula unit. The value obtained for the uncorrected formation energy is -1634 meV per atom.

Unit cell a=5.668 b=3.317 c=8.611 alpha=90.00 beta=102.44 gamma=90.00
Space group P2_1/m (No. 11)
Inequivalent atoms, fractional coordinates:
Tb (0.157, 0.250, 0.194) [2 per cell]
Hf (0.360, 0.250, 0.857) [2 per cell]
Zr (0.267, 0.750, 0.543) [2 per cell]
N (0.055, 0.250, 0.662) [2 per cell]
N (0.255, 0.750, 0.996) [2 per cell]
N (0.458, 0.750, 0.344) [2 per cell]